# AgSnAu2, relaxed, DFT PBE-GGA
data_AgSnAu2
_cell_length_a 4.817
_cell_length_b 6.268
_cell_length_c 5.185
_cell_angle_alpha 90.00
_cell_angle_beta 90.00
_cell_angle_gamma 90.00
_space_group_name_H-M_alt 'P m m n'
_space_group_IT_number 59
loop_
_space_group_symop_operation_xyz
'x,y,z'
'-x,-y,-z'
'-x+1/2,-y+1/2,z'
'x+1/2,y+1/2,-z'
'x+1/2,-y,-z'
'-x+1/2,y,z'
'-x,y+1/2,-z'
'x,-y+1/2,z'
loop_
_atom_site_label
_atom_site_fract_x
_atom_site_fract_y
_atom_site_fract_z
Ag1 0.250 0.250 0.188
Sn1 0.250 0.750 0.181
Au1 0.250 0.001 0.679
# ρ in g cm⁻³: 13.2
# DFT total energy in eV/atom: -3.4311
# Formation energy from the elements in eV/atom: -0.079

# Sr2AgSnAu, relaxed, DFT PBE-GGA
data_Sr2AgSnAu
_cell_length_a 6.316
_cell_length_b 6.316
_cell_length_c 5.113
_cell_angle_alpha 90.00
_cell_angle_beta 90.00
_cell_angle_gamma 90.00
_space_group_name_H-M_alt 'P 4/m m m'
_space_group_IT_number 123
_space_group_name_Hall '-P 4 2'
loop_
_atom_site_label
_atom_site_fract_x
_atom_site_fract_y
_atom_site_fract_z
Sr1 0.000 0.500 0.000
Ag1 0.000 0.000 0.500
Sn1 0.000 0.000 0.000
Au1 0.500 0.500 0.500
# ρ in g cm⁻³: 4.9
# DFT total energy in eV/atom: -2.7924
# Formation energy from the elements in eV/atom: -0.093

# Sr2AgSn4Au3, relaxed, DFT PBE-GGA
data_Sr2AgSn4Au3
_cell_length_a 4.731
_cell_length_b 4.731
_cell_length_c 11.580
_cell_angle_alpha 90.00
_cell_angle_beta 90.00
_cell_angle_gamma 90.00
_space_group_name_H-M_alt 'P -4 m 2'
_space_group_IT_number 115
_space_group_name_Hall 'P -4 -2'
loop_
_atom_site_label
_atom_site_fract_x
_atom_site_fract_y
_atom_site_fract_z
Sr1 0.000 0.500 0.241
Ag1 0.500 0.500 0.000
Sn1 0.000 0.000 0.500
Sn2 0.000 0.500 0.870
Sn3 0.500 0.500 0.500
Au1 0.000 0.000 0.000
Au2 0.000 0.500 0.637
# ρ in g cm⁻³: 8.6
# DFT total energy in eV/atom: -3.7201
# Formation energy from the elements in eV/atom: -0.514

# Ag2SnTe4Au, relaxed, DFT PBE-GGA
data_Ag2SnTe4Au
_cell_length_a 9.038
_cell_length_b 9.040
_cell_length_c 13.022
_cell_angle_alpha 90.00
_cell_angle_beta 90.00
_cell_angle_gamma 90.00
_space_group_name_H-M_alt 'F m m 2'
_space_group_IT_number 42
_space_group_name_Hall 'F 2 -2'
loop_
_atom_site_label
_atom_site_fract_x
_atom_site_fract_y
_atom_site_fract_z
Ag1 0.250 0.250 0.000
Sn1 0.000 0.000 0.250
Te1 0.000 0.243 0.876
Te2 0.243 0.000 0.624
Au1 0.000 0.000 0.750
# ρ in g cm⁻³: 6.5
# Formation energy (no corrections) in eV/atom: -0.11
# DFT total energy in eV/atom: -3.2999

# AgSnTe4Au2, relaxed, DFT PBE-GGA
data_AgSnTe4Au2
_cell_length_a 6.397
_cell_length_b 6.397
_cell_length_c 12.908
_cell_angle_alpha 90.00
_cell_angle_beta 90.00
_cell_angle_gamma 90.00
_space_group_name_H-M_alt 'I -4 2 m'
_space_group_IT_number 121
_space_group_name_Hall 'I -4 2'
loop_
_atom_site_label
_atom_site_fract_x
_atom_site_fract_y
_atom_site_fract_z
Ag1 0.000 0.000 0.000
Sn1 0.000 0.000 0.500
Te1 0.245 0.245 0.131
Au1 0.000 0.500 0.250
# ρ in g cm⁻³: 7.1
# Formation energy (no corrections) in eV/atom: -0.11
# DFT total energy in eV/atom: -3.3542

# ThAgSnAu, relaxed, DFT PBE-GGA
data_ThAgSnAu
_cell_length_a 7.200
_cell_length_b 7.200
_cell_length_c 7.200
_cell_angle_alpha 90.00
_cell_angle_beta 90.00
_cell_angle_gamma 90.00
_space_group_name_H-M_alt 'F -4 3 m'
_space_group_IT_number 216
_space_group_name_Hall 'F -4 2 3'
loop_
_atom_site_label
_atom_site_fract_x
_atom_site_fract_y
_atom_site_fract_z
Th1 0.000 0.000 0.000
Ag1 0.250 0.250 0.750
Sn1 0.000 0.000 0.500
Au1 0.250 0.250 0.250
# ρ in g cm⁻³: 11.7
# DFT total energy in eV/atom: -4.8153
# Formation energy from the elements in eV/atom: -0.427

# TlAgSnAu, relaxed, DFT PBE-GGA
data_TlAgSnAu
_cell_length_a 7.157
_cell_length_b 7.157
_cell_length_c 7.157
_cell_angle_alpha 90.00
_cell_angle_beta 90.00
_cell_angle_gamma 90.00
_space_group_name_H-M_alt 'F -4 3 m'
_space_group_IT_number 216
_space_group_name_Hall 'F -4 2 3'
loop_
_atom_site_label
_atom_site_fract_x
_atom_site_fract_y
_atom_site_fract_z
Tl1 0.000 0.000 0.000
Ag1 0.250 0.250 0.750
Sn1 0.000 0.000 0.500
Au1 0.250 0.250 0.250
# ρ in g cm⁻³: 11.4
# DFT total energy in eV/atom: -3.0504
# Formation energy from the elements in eV/atom: 0.074

# Tl2AgSn3Au4, relaxed, DFT PBE-GGA
data_Tl2AgSn3Au4
_cell_length_a 4.708
_cell_length_b 4.708
_cell_length_c 11.410
_cell_angle_alpha 90.00
_cell_angle_beta 90.00
_cell_angle_gamma 90.00
_space_group_name_H-M_alt 'P -4 m 2'
_space_group_IT_number 115
_space_group_name_Hall 'P -4 -2'
loop_
_atom_site_label
_atom_site_fract_x
_atom_site_fract_y
_atom_site_fract_z
Tl1 0.000 0.500 0.245
Ag1 0.500 0.500 0.000
Sn1 0.000 0.000 0.000
Sn2 0.000 0.500 0.630
Au1 0.000 0.000 0.500
Au2 0.000 0.500 0.866
Au3 0.500 0.500 0.500
# ρ in g cm⁻³: 10.9
# DFT total energy in eV/atom: -3.3350
# Formation energy from the elements in eV/atom: -0.065

# TmAgSnAu, relaxed, DFT PBE-GGA
data_TmAgSnAu
_cell_length_a 6.987
_cell_length_b 6.987
_cell_length_c 6.987
_cell_angle_alpha 90.00
_cell_angle_beta 90.00
_cell_angle_gamma 90.00
_space_group_name_H-M_alt 'F -4 3 m'
_space_group_IT_number 216
_space_group_name_Hall 'F -4 2 3'
loop_
_atom_site_label
_atom_site_fract_x
_atom_site_fract_y
_atom_site_fract_z
Tm1 0.000 0.000 0.000
Ag1 0.250 0.250 0.250
Sn1 0.000 0.000 0.500
Au1 0.250 0.250 0.750
# ρ in g cm⁻³: 11.5
# DFT total energy in eV/atom: -4.1537
# Formation energy from the elements in eV/atom: -0.503

# UAgSnAu, relaxed, DFT PBE-GGA
data_UAgSnAu
_cell_length_a 7.075
_cell_length_b 7.075
_cell_length_c 7.075
_cell_angle_alpha 90.00
_cell_angle_beta 90.00
_cell_angle_gamma 90.00
_space_group_name_H-M_alt 'F -4 3 m'
_space_group_IT_number 216
_space_group_name_Hall 'F -4 2 3'
loop_
_atom_site_label
_atom_site_fract_x
_atom_site_fract_y
_atom_site_fract_z
U1 0.000 0.000 0.000
Ag1 0.250 0.250 0.750
Sn1 0.000 0.000 0.500
Au1 0.250 0.250 0.250
# ρ in g cm⁻³: 12.4
# DFT total energy in eV/atom: -5.3914
# Formation energy from the elements in eV/atom: -0.037

# SrAg2Au, relaxed, DFT PBE-GGA
data_SrAg2Au
_cell_length_a 4.673
_cell_length_b 4.673
_cell_length_c 19.908
_cell_angle_alpha 90.00
_cell_angle_beta 90.00
_cell_angle_gamma 90.00
_space_group_name_H-M_alt 'I -4 2 d'
_space_group_IT_number 122
_space_group_name_Hall 'I -4 2bw'
loop_
_atom_site_label
_atom_site_fract_x
_atom_site_fract_y
_atom_site_fract_z
Sr1 0.000 0.000 0.000
Ag1 0.143 0.250 0.625
Au1 0.000 0.000 0.500
# ρ in g cm⁻³: 7.6
# DFT total energy in eV/atom: -2.8247
# Formation energy from the elements in eV/atom: -0.159

# Sr2AgAu, relaxed, DFT PBE-GGA
data_Sr2AgAu
_cell_length_a 8.416
_cell_length_b 8.416
_cell_length_c 7.772
_cell_angle_alpha 90.00
_cell_angle_beta 90.00
_cell_angle_gamma 90.00
_space_group_name_H-M_alt 'I -4 2 d'
_space_group_IT_number 122
_space_group_name_Hall 'I -4 2bw'
loop_
_atom_site_label
_atom_site_fract_x
_atom_site_fract_y
_atom_site_fract_z
Sr1 0.240 0.250 0.125
Ag1 0.000 0.000 0.500
Au1 0.000 0.000 0.000
# ρ in g cm⁻³: 5.8
# DFT total energy in eV/atom: -2.6238
# Formation energy from the elements in eV/atom: -0.251

# Sr3AgAu, relaxed, DFT PBE-GGA
data_Sr3AgAu
_cell_length_a 8.591
_cell_length_b 4.640
_cell_length_c 9.315
_cell_angle_alpha 90.00
_cell_angle_beta 107.90
_cell_angle_gamma 90.00
_space_group_name_H-M_alt 'P 1 21/m 1'
_space_group_IT_number 11
_space_group_name_Hall '-P 2yb'
loop_
_atom_site_label
_atom_site_fract_x
_atom_site_fract_y
_atom_site_fract_z
Sr1 0.082 0.250 0.244
Sr2 0.312 0.250 0.940
Sr3 0.347 0.750 0.595
Ag1 0.365 0.750 0.211
Au1 0.072 0.250 0.599
# ρ in g cm⁻³: 5.3
# E above lowest polymorph in meV per atom: 12
# DFT total energy in eV/atom: -2.6694
# Formation energy from the elements in eV/atom: -0.435

# Sr2Ag5Au5, relaxed, DFT PBE-GGA
data_Sr2Ag5Au5
_cell_length_a 4.660
_cell_length_b 5.715
_cell_length_c 9.969
_cell_angle_alpha 90.00
_cell_angle_beta 90.00
_cell_angle_gamma 90.00
_space_group_name_H-M_alt 'P m m m'
_space_group_IT_number 47
_space_group_name_Hall '-P 2 2'
loop_
_atom_site_label
_atom_site_fract_x
_atom_site_fract_y
_atom_site_fract_z
Sr1 0.000 0.000 0.000
Sr2 0.000 0.500 0.500
Ag1 0.500 0.000 0.500
Ag2 0.500 0.250 0.250
Au1 0.000 0.000 0.334
Au2 0.000 0.500 0.168
Au3 0.500 0.500 0.000
# ρ in g cm⁻³: 10.6
# DFT total energy in eV/atom: -3.1925
# Formation energy from the elements in eV/atom: -0.359

# SrAg9Au3, relaxed, DFT PBE-GGA
data_SrAg9Au3
_cell_length_a 5.515
_cell_length_b 13.725
_cell_length_c 7.393
_cell_angle_alpha 90.00
_cell_angle_beta 111.05
_cell_angle_gamma 90.00
_space_group_name_H-M_alt 'C 1 2/m 1'
_space_group_IT_number 12
_space_group_name_Hall '-C 2y'
loop_
_atom_site_label
_atom_site_fract_x
_atom_site_fract_y
_atom_site_fract_z
Sr1 0.000 0.000 0.000
Ag1 0.000 0.500 0.500
Ag2 0.109 0.391 0.220
Ag3 0.174 0.177 0.355
Au1 0.000 0.000 0.500
Au2 0.250 0.250 0.000
# ρ in g cm⁻³: 10.5
# DFT total energy in eV/atom: -2.9853
# Formation energy from the elements in eV/atom: -0.126

# Sr2AgAu, relaxed, DFT PBE-GGA
data_Sr2AgAu
_cell_length_a 4.7859
_cell_length_b 4.7859
_cell_length_c 22.0011
_cell_angle_alpha 90.00
_cell_angle_beta 90.00
_cell_angle_gamma 120.00
_space_group_name_H-M_alt 'R 3 m'
_space_group_IT_number 160
_space_group_name_Hall 'R 3 -2"'
loop_
_atom_site_label
_atom_site_fract_x
_atom_site_fract_y
_atom_site_fract_z
Sr1 0.0000 0.0000 0.0000
Sr2 0.0000 0.0000 0.1728
Ag1 0.0000 0.0000 0.4185
Au1 0.0000 0.0000 0.7544
# ρ in g cm⁻³: 5.5
# DFT total energy in eV/atom: -2.8071
# Formation energy from the elements in eV/atom: -0.434

# Sr2Ag3Au, relaxed, DFT PBE-GGA
data_Sr2Ag3Au
_cell_length_a 11.339
_cell_length_b 4.801
_cell_length_c 7.696
_cell_angle_alpha 90.00
_cell_angle_beta 131.86
_cell_angle_gamma 90.00
_space_group_name_H-M_alt 'C 1 m 1'
_space_group_IT_number 8
_space_group_name_Hall 'C -2y'
loop_
_atom_site_label
_atom_site_fract_x
_atom_site_fract_y
_atom_site_fract_z
Sr1 0.000 0.000 0.000
Sr2 0.083 0.000 0.586
Ag1 0.204 0.500 0.403
Ag2 0.207 0.500 0.008
Ag3 0.380 0.000 0.186
Au1 0.381 0.000 0.594
# ρ in g cm⁻³: 7.4
# E above lowest polymorph in meV per atom: 0
# DFT total energy in eV/atom: -2.9510
# Formation energy from the elements in eV/atom: -0.419

# Sr3Ag2Au4, relaxed, DFT PBE-GGA
data_Sr3Ag2Au4
_cell_length_a 11.502
_cell_length_b 4.768
_cell_length_c 9.283
_cell_angle_alpha 90.00
_cell_angle_beta 112.20
_cell_angle_gamma 90.00
_space_group_name_H-M_alt 'C 1 2/m 1'
_space_group_IT_number 12
_space_group_name_Hall '-C 2y'
loop_
_atom_site_label
_atom_site_fract_x
_atom_site_fract_y
_atom_site_fract_z
Sr1 0.000 0.000 0.000
Sr2 0.152 0.500 0.681
Ag1 0.140 0.500 0.305
Au1 0.075 0.000 0.408
Au2 0.218 0.500 0.057
# ρ in g cm⁻³: 8.9
# DFT total energy in eV/atom: -3.2567
# Formation energy from the elements in eV/atom: -0.606

# Sr3AgAu, relaxed, DFT PBE-GGA
data_Sr3AgAu
_cell_length_a 12.523
_cell_length_b 4.617
_cell_length_c 12.353
_cell_angle_alpha 90.00
_cell_angle_beta 90.00
_cell_angle_gamma 90.00
_space_group_name_H-M_alt 'P n m a'
_space_group_IT_number 62
_space_group_name_Hall '-P 2ac 2n'
loop_
_atom_site_label
_atom_site_fract_x
_atom_site_fract_y
_atom_site_fract_z
Sr1 0.047 0.250 0.132
Sr2 0.111 0.750 0.562
Sr3 0.225 0.250 0.803
Ag1 0.197 0.750 0.006
Au1 0.013 0.750 0.313
# ρ in g cm⁻³: 5.3
# E above lowest polymorph in meV per atom: 0
# DFT total energy in eV/atom: -2.6815
# Formation energy from the elements in eV/atom: -0.447

# SrAg7Au5, relaxed, DFT PBE-GGA
data_SrAg7Au5
_cell_length_a 5.504
_cell_length_b 9.735
_cell_length_c 9.744
_cell_angle_alpha 90.00
_cell_angle_beta 90.00
_cell_angle_gamma 90.00
_space_group_name_H-M_alt 'I m m 2'
_space_group_IT_number 44
_space_group_name_Hall 'I 2 -2'
loop_
_atom_site_label
_atom_site_fract_x
_atom_site_fract_y
_atom_site_fract_z
Sr1 0.000 0.000 0.000
Ag1 0.000 0.000 0.358
Ag2 0.000 0.000 0.647
Ag3 0.000 0.279 0.505
Ag4 0.000 0.356 0.006
Ag5 0.000 0.500 0.727
Au1 0.000 0.500 0.295
Au2 0.250 0.250 0.255
# ρ in g cm⁻³: 11.6
# DFT total energy in eV/atom: -3.0909
# Formation energy from the elements in eV/atom: -0.166